[1]
Computed, not measured: crystalline TlCdSi4 at its relaxed geometry at the PBE level of DFT.

Properties
energy relative to the elements, uncorrected: 0.531 eV per atom
electronic total energy: -3.631 eV per atom

a = 5.469 Å, b = 5.469 Å, c = 5.469 Å
α = 60.00°, β = 60.00°, γ = 60.00°
Positions (direct):
1 Tl 0.750 0.750 0.750
2 Cd 0.000 0.000 0.000
3 Si 0.883 0.372 0.372
4 Si 0.372 0.372 0.883
5 Si 0.372 0.883 0.372
6 Si 0.372 0.372 0.372

[2]
Computed, not measured: crystalline Gd2SnP at its relaxed geometry at the PBE level of DFT.

Properties
ΔH_f (0 K): -1109 meV/atom
electronic total energy: -10.502 eV per atom

a = 3.986 Å, b = 3.986 Å, c = 8.116 Å
α = 75.79°, β = 75.79°, γ = 60.00°
Positions (direct):
1 P 0.000 0.000 0.000
2 Gd 0.736 0.736 0.792
3 Gd 0.264 0.264 0.208
4 Sn 0.500 0.500 0.500

[3]
Computed, not measured: crystalline YIrRuPb at its relaxed geometry at the PBE level of DFT.

Properties
ΔH_f (0 K): -103 meV/atom
electronic total energy: -7.180 eV per atom
ΔE to the lowest computed polymorph: 87.3 meV/atom

a = 4.287 Å, b = 4.075 Å, c = 9.911 Å
α = 90.00°, β = 90.00°, γ = 90.00°
Positions (direct):
1 Pb 0.500 0.000 0.049
2 Pb 0.500 0.500 0.549
3 Ru 0.500 0.000 0.768
4 Ru 0.500 0.500 0.268
5 Ir 0.000 0.000 0.638
6 Ir 0.000 0.500 0.138
7 Y 0.000 0.000 0.346
8 Y 0.000 0.500 0.846